CrIr3F: relaxed, PBE+U.

a b c (Å): 4.275 4.275 4.275
angles (deg): 90.00 90.00 90.00
Fractional coordinates of all 5 atoms:
Ir 0.500 0.000 0.000
Ir 0.000 0.500 0.000
Ir 0.000 0.000 0.500
Cr 0.500 0.500 0.500
F 0.000 0.000 0.000

Calculated values
E above lowest polymorph = 0.00 kcal/mol of atoms